[1]
This record from the Open Quantum Materials Database describes Ni20Sn3B6 after structural relaxation. The functional is PBE-GGA.

The value obtained for the magnetization is 0.015 μB per cell.

The structure belongs to space group Fm-3m (No. 225); the cell edges are 10.702, 10.702 and 10.702 Å and the angles 90.00°, 90.00° and 90.00°. The asymmetric unit holds Ni at (0.000, 0.171, 0.171), Ni at (0.114, 0.114, 0.386), Sn at (0.000, 0.000, 0.000), Sn at (0.250, 0.250, 0.250) and B at (0.000, 0.000, 0.275).

[2]
This record from the Open Quantum Materials Database describes Ho2ErAl3AgPt2 after structural relaxation. The functional is PBE-GGA.

The value obtained for the magnetization is 0.006 μB per cell.

The structure belongs to space group Amm2 (No. 38); the cell edges are 3.881, 12.693 and 7.337 Å and the angles 90.00°, 90.00° and 90.00°. The asymmetric unit holds Ho at (0.000, 0.207, 0.000), Er at (0.000, 0.000, 0.379), Al at (0.500, 0.000, 0.053), Al at (0.500, 0.130, 0.663), Ag at (0.000, 0.000, 0.792) and Pt at (0.500, 0.166, 0.293).

| no. | energy (eV per cell) |
| --- | --- |
| 1 | -686.10 |
| 2 | -95.69 |